A geometry-optimized Sc6Sn2C structure, computed with PBE.

Cell lengths 7.8676, 7.8676, 7.8676 Å; angles 145.89, 131.20, 60.88 degrees
Element x y z (fractional)
1 Sc 0.0843 0.3562 0.7281
2 Sc 0.2165 0.0000 0.2165
3 Sc 0.3719 0.6438 0.7281
4 Sc 0.6281 0.3562 0.2719
5 Sc 0.7835 0.0000 0.7835
6 Sc 0.9157 0.6438 0.2719
7 Sn 0.3315 0.8315 0.5000
8 Sn 0.6685 0.1685 0.5000
9 C 0.0000 0.5000 0.5000

Output
V   22.6 Å³ per atom
Total DFT energy (no corrections)   -56.65 eV/cell
Total moment   0.007 μB/cell